1.
A plane-wave DFT calculation with PBE-GGA was carried out for a relaxed structure of ZnPt2Se.

Unit cell a=3.5358 b=3.5358 c=5.3272 alpha=90.00 beta=90.00 gamma=90.00
Closest atoms and distances in Å follow each position.
Space group P4mm (No. 99)
One atom of each set of equivalent atoms:
Zn 0.0000 0.0000 0.0000 (multiplicity 1)  6 Pt 2.63-2.70
Pt 0.0000 0.0000 0.4937 (multiplicity 1)  4 Se 2.63, 2 Zn 2.63-2.70
Pt 0.5000 0.5000 0.1627 (multiplicity 1)  2 Se 2.57-2.76, 4 Zn 2.65
Se 0.5000 0.5000 0.6454 (multiplicity 1)  6 Pt 2.57-2.76

Properties
**VASP energy**: -4.35 eV/atom


2.
A plane-wave DFT calculation with PBE-GGA was carried out for a relaxed structure of Zn2PtSe.

Unit cell a=11.6727 b=3.6509 c=3.3321 alpha=90.00 beta=90.03 gamma=90.00
Closest atoms and distances in Å follow each position.
Space group Cm (No. 8)
One atom of each set of equivalent atoms:
Zn 0.0000 0.0000 0.0000 (multiplicity 2)  1 Pt 2.53, 4 Se 2.72
Zn 0.1513 0.5000 0.5016 (multiplicity 2)  4 Pt 2.59
Pt 0.2165 0.0000 0.0016 (multiplicity 2)  5 Zn 2.53-2.59, 2 Se 2.74
Se 0.4031 0.0000 0.5009 (multiplicity 2)  5 Zn 2.72-2.90, 2 Pt 2.74

Properties
**VASP energy**: -3.25 eV/atom


3.
A plane-wave DFT calculation with PBE-GGA was carried out for a relaxed structure of Zn2PtSe.

Unit cell a=5.7661 b=6.6963 c=3.3819 alpha=90.00 beta=90.00 gamma=90.00
Closest atoms and distances in Å follow each position.
Space group Cmmm (No. 65)
One atom of each set of equivalent atoms:
Zn 0.2500 0.2500 0.0000 (multiplicity 4)  4 Pt 2.78, 4 Se 2.78, 2 Zn 2.88
Pt 0.0000 0.0000 0.5000 (multiplicity 2)  8 Zn 2.78, 2 Se 2.88
Se 0.0000 0.5000 0.5000 (multiplicity 2)  8 Zn 2.78, 2 Pt 2.88

Properties
**VASP energy**: -3.15 eV/atom


4.
A plane-wave DFT calculation with PBE-GGA was carried out for a relaxed structure of Zn2PtSe.

Unit cell a=4.0468 b=4.0571 c=7.8700 alpha=90.00 beta=90.00 gamma=90.00
Closest atoms and distances in Å follow each position.
Space group Immm (No. 71)
One atom of each set of equivalent atoms:
Zn 0.0000 0.0000 0.2501 (multiplicity 4)  4 Pt 2.82-2.83, 4 Se 2.82-2.83, 4 Zn 2.87
Pt 0.0000 0.5000 0.0000 (multiplicity 2)  8 Zn 2.82-2.83, 4 Se 2.87
Se 0.0000 0.5000 0.5000 (multiplicity 2)  8 Zn 2.82-2.83, 4 Pt 2.87

Properties
**VASP energy**: -3.10 eV/atom


5.
A plane-wave DFT calculation with PBE-GGA was carried out for a relaxed structure of Zn2PtSe.

Unit cell a=3.5476 b=3.5476 c=5.4849 alpha=90.00 beta=90.00 gamma=90.00
Closest atoms and distances in Å follow each position.
Space group P4mm (No. 99)
One atom of each set of equivalent atoms:
Zn 0.0000 0.0000 0.0000 (multiplicity 1)  1 Pt 2.53, 4 Se 2.68
Zn 0.5000 0.5000 0.3198 (multiplicity 1)  4 Pt 2.63, 2 Se 2.70-2.78
Pt 0.0000 0.0000 0.4618 (multiplicity 1)  5 Zn 2.53-2.63
Se 0.5000 0.5000 0.8272 (multiplicity 1)  6 Zn 2.68-2.78

Properties
**VASP energy**: -3.20 eV/atom


6.
A plane-wave DFT calculation with PBE-GGA was carried out for a relaxed structure of ZnPt2Se.

Unit cell a=8.5137 b=2.9645 c=5.2682 alpha=90.00 beta=102.45 gamma=90.00
Closest atoms and distances in Å follow each position.
Space group C2/m (No. 12)
One atom of each set of equivalent atoms:
Zn 0.0000 0.0000 0.0000 (multiplicity 2)  6 Pt 2.65-2.72, 2 Zn 2.96
Pt 0.2458 0.5000 0.2373 (multiplicity 4)  3 Zn 2.65-2.72, 3 Se 2.74-2.75, 4 Pt 2.92-2.96
Se 0.0000 0.5000 0.5000 (multiplicity 2)  6 Pt 2.74-2.75, 2 Se 2.96, 4 Zn 3.02

Properties
**VASP energy**: -4.31 eV/atom


7.
A plane-wave DFT calculation with PBE-GGA was carried out for a relaxed structure of Zn2PtSe.

Unit cell a=8.5383 b=4.2959 c=4.1884 alpha=90.00 beta=90.11 gamma=90.00
Closest atoms and distances in Å follow each position.
Space group C2/m (No. 12)
One atom of each set of equivalent atoms:
Zn 0.1850 0.0000 0.0022 (multiplicity 4)  2 Zn 2.42, 2 Se 2.62-2.63, 3 Pt 2.67-2.69
Pt 0.0000 0.5000 0.0000 (multiplicity 2)  6 Zn 2.67-2.69
Se 0.0000 0.0000 0.5000 (multiplicity 2)  4 Zn 2.62-2.63

Properties
**VASP energy**: -3.13 eV/atom


8.
A plane-wave DFT calculation with PBE-GGA was carried out for a relaxed structure of ZnPt2Se3.

Unit cell a=7.4524 b=7.4524 c=5.0838 alpha=90.00 beta=90.00 gamma=120.00
Closest atoms and distances in Å follow each position.
Space group P-3m1 (No. 164)
One atom of each set of equivalent atoms:
Zn 0.3333 0.6667 0.1807 (multiplicity 2)  3 Pt 2.69, 3 Se 2.99
Pt 0.0000 0.0000 0.5000 (multiplicity 1)  6 Se 2.59
Pt 0.0000 0.5000 0.5000 (multiplicity 3)  4 Se 2.48, 2 Zn 2.69
Se 0.1734 0.3467 0.7557 (multiplicity 6)  3 Pt 2.48-2.59

Properties
**VASP energy**: -4.36 eV/atom


9.
A plane-wave DFT calculation with PBE-GGA was carried out for a relaxed structure of Zn2PtSe.

Unit cell a=4.0544 b=4.1056 c=5.2289 alpha=90.00 beta=112.76 gamma=90.00
Closest atoms and distances in Å follow each position.
Space group Pm (No. 6)
One atom of each set of equivalent atoms:
Zn 0.0000 0.0000 0.0000 (multiplicity 1)  2 Pt 2.57, 2 Se 2.62
Zn 0.4887 0.5000 0.9771 (multiplicity 1)  2 Pt 2.49, 2 Se 2.71
Pt 0.8394 0.5000 0.6779 (multiplicity 1)  4 Zn 2.49-2.57, 2 Se 2.61
Se 0.6714 0.0000 0.3444 (multiplicity 1)  2 Pt 2.61, 4 Zn 2.62-2.71

Properties
**VASP energy**: -3.29 eV/atom


10.
A plane-wave DFT calculation with PBE-GGA was carried out for a relaxed structure of ZnPtSe3.

Unit cell a=4.9952 b=4.9952 c=4.9952 alpha=90.00 beta=90.00 gamma=90.00
Closest atoms and distances in Å follow each position.
Space group Pm-3m (No. 221)
One atom of each set of equivalent atoms:
Zn 0.0000 0.0000 0.0000 (multiplicity 1)  12 Se 3.53
Pt 0.5000 0.5000 0.5000 (multiplicity 1)  6 Se 2.50
Se 0.0000 0.5000 0.5000 (multiplicity 3)  2 Pt 2.50

Properties
**VASP energy**: -3.06 eV/atom


11.
A plane-wave DFT calculation with PBE-GGA was carried out for a relaxed structure of Zn2PtSe.

Unit cell a=2.8669 b=4.2469 c=12.1967 alpha=90.00 beta=90.00 gamma=90.00
Closest atoms and distances in Å follow each position.
Space group Imm2 (No. 44)
One atom of each set of equivalent atoms:
Zn 0.0000 0.0000 0.0000 (multiplicity 2)  2 Pt 2.60, 2 Zn 2.87, 4 Se 2.91
Zn 0.0000 0.5000 0.1722 (multiplicity 2)  4 Pt 2.56, 2 Zn 2.87
Pt 0.0000 0.5000 0.6782 (multiplicity 2)  6 Zn 2.56-2.60, 2 Pt 2.87
Se 0.0000 0.0000 0.3863 (multiplicity 2)  2 Se 2.87, 4 Zn 2.91, 2 Pt 2.91

Properties
**VASP energy**: -3.23 eV/atom


12.
A plane-wave DFT calculation with PBE-GGA was carried out for a relaxed structure of ZnPt2Se.

Unit cell a=4.6458 b=4.6458 c=2.9753 alpha=90.00 beta=90.00 gamma=90.00
Closest atoms and distances in Å follow each position.
Space group P4/mmm (No. 123)
One atom of each set of equivalent atoms:
Zn 0.0000 0.0000 0.0000 (multiplicity 1)  8 Pt 2.76, 2 Zn 2.98
Pt 0.0000 0.5000 0.5000 (multiplicity 2)  4 Se 2.76, 4 Zn 2.76, 2 Pt 2.98
Se 0.5000 0.5000 0.0000 (multiplicity 1)  8 Pt 2.76, 2 Se 2.98

Properties
**VASP energy**: -4.29 eV/atom